No. 1
The following is a DFT calculation (PBEsol) of crystalline Nb3In at its relaxed geometry.

## Properties
The formation enthalpy at 0 K comes out at -0.02 eV/atom.

Cell: 5.2690 5.2690 5.2690 Å, 90.00 90.00 90.00°
With the nearest neighbours (Å) after each atom.
Space group Pm-3n (No. 223)
Asymmetric unit:
Nb 0.0000 0.2500 0.5000  2 Nb 2.63, 4 In 2.95
In 0.0000 0.0000 0.0000  12 Nb 2.95

***

No. 2
The following is a DFT calculation (PBEsol) of crystalline Sr2NbInO6 at its relaxed geometry.

## Properties
Its uncorrected formation energy is -2.61 eV per atom.

Cell: 5.7235 5.7857 9.9233 Å, 90.00 125.14 90.00°
With the nearest neighbours (Å) after each atom.
Space group P2_1/c (No. 14)
Asymmetric unit:
Sr 0.2427 0.0361 0.2508  6 O 2.49-2.76
Nb 0.0000 0.0000 0.5000  6 O 2.00-2.01
In 0.5000 0.0000 0.0000  6 O 2.15-2.16
O 0.1605 0.2226 0.9580  1 Nb 2.01, 1 In 2.16
O 0.2388 0.7042 0.9613  1 Nb 2.00, 1 In 2.16
O 0.3167 0.0203 0.7404  1 Nb 2.00, 1 In 2.15

***

| no. | uncorrected energy (eV/atom) | D(E_F) (states/eV per cell) |
| --- | --- | --- |
| 1 | -8.877 | 12.31 |
| 2 | -7.506 | 0.00 |